First-principles (PBE) data for a geometry-optimized Cu2NiPd2 structure, as listed in Alexandria via LeMat-Bulk.

Computed properties:
SG = No. 127
energy relative to the elements = 0.165 eV/atom

a b c (Å): 6.1092 6.1092 3.7104
angles (deg): 90.00 90.00 90.00
Last column: magnetic moment on the atom in μB.
Fractional positions:
Ni: 0.0000 0.0000 0.0000  0.26
Ni: 0.5000 0.5000 0.0000  0.26
Cu: 0.3643 0.8643 0.0000  0.01
Cu: 0.8643 0.6357 0.0000  0.01
Cu: 0.6357 0.1357 0.0000  0.01
Cu: 0.1357 0.3643 0.0000  0.01
Pd: 0.1685 0.6685 0.5000  0.01
Pd: 0.6685 0.8315 0.5000  0.01
Pd: 0.8315 0.3315 0.5000  0.01
Pd: 0.3315 0.1685 0.5000  0.01


First-principles (PBE) data for a geometry-optimized Hf2FeH structure, as listed in Alexandria via LeMat-Bulk.

Computed properties:
SG = No. 122
uncorrected energy = -7.96 eV per atom

a b c (Å): 5.9775 5.9775 5.3220
angles (deg): 55.83 55.83 90.00
Fractional positions:
H: 0.5000 0.5000 0.0000
H: 0.2500 0.7500 0.5000
Hf: 0.5640 0.1250 0.2500
Hf: 0.1860 0.6250 0.2500
Hf: 0.3750 0.4360 0.7500
Hf: 0.8750 0.8140 0.7500
Fe: 0.0000 0.0000 0.0000
Fe: 0.7500 0.2500 0.5000


First-principles (PBE) data for a geometry-optimized Rb2VBAu structure, as listed in Alexandria via LeMat-Bulk.

Computed properties:
SG = No. 123
energy relative to the elements = 0.985 eV/atom

a b c (Å): 6.6060 4.0627 6.6060
angles (deg): 90.00 90.00 90.00
Last column: magnetic moment on the atom in μB.
Fractional positions:
B: 0.0000 0.0000 0.0000  -0.06
Au: 0.0000 0.5000 0.0000  0.00
Rb: 0.0000 0.0000 0.5000  0.02
Rb: 0.5000 0.0000 0.0000  0.02
V: 0.5000 0.5000 0.5000  3.21


First-principles (PBE) data for a geometry-optimized PmSi2Mo structure, as listed in Alexandria via LeMat-Bulk.

Computed properties:
SG = No. 62
uncorrected energy = -7.20 eV per atom

a b c (Å): 3.8102 7.6358 10.3480
angles (deg): 90.00 90.00 90.00
Fractional positions:
Pm: 0.7500 0.8655 0.1320
Pm: 0.2500 0.1345 0.8680
Pm: 0.7500 0.3655 0.3680
Pm: 0.2500 0.6345 0.6320
Si: 0.7500 0.8331 0.8093
Si: 0.2500 0.1669 0.1907
Si: 0.7500 0.3331 0.6907
Si: 0.2500 0.6669 0.3093
Si: 0.7500 0.7726 0.4325
Si: 0.2500 0.7274 0.9325
Si: 0.7500 0.2726 0.0675
Si: 0.2500 0.2274 0.5675
Mo: 0.2500 0.4904 0.1024
Mo: 0.2500 0.9904 0.3976
Mo: 0.7500 0.5096 0.8976
Mo: 0.7500 0.0096 0.6024


First-principles (PBE) data for a geometry-optimized PuTl2PdO8 structure, as listed in Alexandria via LeMat-Bulk.

Computed properties:
SG = No. 10
uncorrected energy = -6.43 eV per atom

a b c (Å): 5.2230 5.0810 6.5021
angles (deg): 90.00 90.00 93.52
Last column: magnetic moment on the atom in μB.
Fractional positions:
Pu: 0.0000 0.0000 0.0000  2.35
Tl: 0.5000 0.5000 0.7415  0.01
Tl: 0.5000 0.5000 0.2585  0.01
Pd: 0.0000 0.0000 0.5000  0.12
O: 0.1486 0.8077 0.2467  -0.09
O: 0.6828 0.7265 0.0000  -0.07
O: 0.8514 0.1923 0.2467  -0.09
O: 0.8514 0.1923 0.7533  -0.09
O: 0.3172 0.2735 0.0000  -0.07
O: 0.1486 0.8077 0.7533  -0.09
O: 0.6764 0.7488 0.5000  0.01
O: 0.3236 0.2512 0.5000  0.01


First-principles (PBE) data for a geometry-optimized NaSc2In structure, as listed in Alexandria via LeMat-Bulk.

Computed properties:
SG = No. 122
energy relative to the elements = 0.307 eV/atom

a b c (Å): 4.3574 4.3574 11.5025
angles (deg): 79.08 79.08 90.00
Last column: magnetic moment on the atom in μB.
Fractional positions:
Sc: 0.6427 0.1250 0.2500  0.25
Sc: 0.1073 0.6250 0.2500  0.25
Sc: 0.3750 0.3573 0.7500  0.25
Sc: 0.8750 0.8927 0.7500  0.24
Na: 0.5000 0.5000 0.0000  0.00
Na: 0.2500 0.7500 0.5000  0.00
In: 0.0000 0.0000 0.0000  0.00
In: 0.7500 0.2500 0.5000  0.00


First-principles (PBE) data for a geometry-optimized EuTmPd structure, as listed in Alexandria via LeMat-Bulk.

Computed properties:
SG = No. 156
energy relative to the elements = -0.420 eV/atom

a b c (Å): 6.1327 4.1668 4.1668
angles (deg): 120.00 90.00 90.00
Last column: magnetic moment on the atom in μB.
Fractional positions:
Eu: 0.7351 0.6667 0.3333  6.90
Tm: 0.2393 0.3333 0.6667  0.15
Pd: 0.0256 0.0000 0.0000  0.00


First-principles (PBE) data for a geometry-optimized CsTh2PaO8 structure, as listed in Alexandria via LeMat-Bulk.

Computed properties:
SG = No. 10
uncorrected energy = -8.53 eV per atom

a b c (Å): 3.9225 5.6194 8.6601
angles (deg): 90.00 89.99 88.44
Fractional positions:
Cs: 0.0000 0.0000 0.5000
Th: 0.5001 0.5000 0.7785
Th: 0.4999 0.5000 0.2215
Pa: 0.0000 0.0000 0.0000
O: 0.0023 0.7456 0.2032
O: 0.5016 0.7616 0.0000
O: 0.9976 0.2545 0.2032
O: 0.9977 0.2544 0.7968
O: 0.4984 0.2384 0.0000
O: 0.0024 0.7455 0.7968
O: 0.5915 0.6143 0.5000
O: 0.4085 0.3857 0.5000


| no. | mass density (Mg/m³) | DOS(E_F) (states/eV per cell) |
| --- | --- | --- |
| 1 | 9.56 | 11.79 |
| 2 | 11.89 | 3.62 |
| 3 | 4.02 | 8.72 |
| 4 | 6.55 | 8.77 |
| 5 | 8.55 | 3.47 |
| 6 | 3.59 | 9.58 |
| 7 | 7.70 | 7.83 |
| 8 | 8.32 | 0.00 |